No. 1
A relaxed structure of Ac8GeTe4Ir3. Source: Alexandria, functional PBE.

Properties
formation energy from raw total energies	-1.1174	eV per atom

Cell lengths 8.981, 9.470, 8.981 Å; angles 118.31, 120.00, 90.00 degrees
Fractional positions:
Ac  0.242  0.709  0.968
Ac  0.242  0.709  0.484
Ac  0.262  0.286  0.524
Ac  0.726  0.709  0.968
Ac  0.274  0.291  0.032
Ac  0.738  0.714  0.476
Ac  0.758  0.291  0.516
Ac  0.758  0.291  0.032
Ge  0.000  0.500  0.000
Te  0.500  0.000  0.000
Te  0.500  0.000  0.500
Te  0.000  0.000  0.000
Te  0.000  0.000  0.500
Ir  0.500  0.500  0.000
Ir  0.500  0.500  0.500
Ir  0.000  0.500  0.500


No. 2
A relaxed structure of TbSnAu. Source: Alexandria, functional PBE.

Properties
energy of formation	-2.3	eV per formula unit

Cell lengths 3.604, 4.754, 4.754 Å; angles 120.00, 90.00, 90.00 degrees
Fractional positions:
Tb  0.666  0.667  0.333
Au  0.166  0.333  0.667
Sn  0.167  0.000  0.000


No. 3
A relaxed structure of CrGaAs. Source: Alexandria, functional PBE.

Properties
energy above the lowest structure with this stoichiometry	0.2120	eV per atom
energy of formation	0.3	eV per formula unit

Cell lengths 3.854, 3.854, 7.153 Å; angles 90.00, 90.00, 90.00 degrees
Site moments in Bohr magnetons follow the coordinates.
Fractional positions:
Cr  0.000  0.000  0.500  2.73
Cr  0.500  0.500  0.000  2.73
As  0.000  0.500  0.250  -0.09
As  0.500  0.000  0.750  -0.09
Ga  0.000  0.500  0.750  -0.06
Ga  0.500  0.000  0.250  -0.06


No. 4
A relaxed structure of MnBeZn2. Source: Alexandria, functional PBE.

Properties
energy of formation	0.5	eV per formula unit

Cell lengths 3.934, 2.628, 4.973 Å; angles 75.53, 90.00, 90.00 degrees
Site moments in Bohr magnetons follow the coordinates.
Fractional positions:
Be  0.500  0.250  0.250  -0.06
Zn  0.000  0.098  0.011  -0.04
Zn  0.000  0.402  0.489  -0.04
Mn  0.500  0.750  0.750  2.80


Number 1: VASP energy -5.9071 eV/atom. Number 2: VASP energy -4.7204 eV/atom. Number 3: VASP energy -5.6725 eV/atom. Number 4: VASP energy -3.7479 eV/atom.